# 1
Sr2Pt after structural relaxation. Source: the Alexandria database, functional PBE.

Computed properties:
Volume: 34.90 A^3/atom
Fermi-level density of states: 3.9 states/eV/cell
Energy of formation: -0.56 eV/atom
Space-group type: I4_1/amd (141)
Final energy: -22.2 eV per cell

Cell and atoms, written as POSCAR:
```
Sr2Pt
1.0
-1.885 1.885 14.736
1.885 -1.885 14.736
1.885 1.885 -14.736
Pt Sr
2 4
Direct
0.500 0.500 0.000
0.250 0.750 0.500
0.059 0.059 0.000
0.941 0.941 0.000
0.691 0.191 0.500
0.809 0.309 0.500
```


# 2
Sc2TlMo after structural relaxation. Source: the Alexandria database, functional PBE.

Computed properties:
Volume: 20.22 A^3/atom
Fermi-level density of states: 4.5 states/eV/cell
Energy of formation: 0.03 eV/atom
Space-group type: P4/mmm (123)
Final energy: -25.7 eV per cell

Cell and atoms, written as POSCAR:
```
Sc2TlMo
1.0
4.569 0.000 0.000
0.000 3.873 -0.073
0.000 0.086 4.568
Mo Sc Tl
1 2 1
Direct
0.500 0.625 0.875
0.000 0.125 0.875
0.500 0.125 0.375
0.000 0.625 0.375
```


# 3
Ba4LiRe3O12 after structural relaxation. Source: the Alexandria database, functional PBE.

Computed properties:
Volume: 13.59 A^3/atom
Fermi-level density of states: 0.2 states/eV/cell
Formation energy from raw total energies: -2155 meV per atom
Space-group type: Im-3m (229)
Final energy: -149.5 eV per cell

Cell and atoms, written as POSCAR:
```
Ba4LiRe3O12
1.0
-4.924 -2.938 4.133
-0.628 -2.524 -6.572
6.420 -1.552 2.516
Ba O Li Re
4 12 1 3
Direct
0.000 0.500 0.000
0.000 0.000 0.500
0.500 0.500 0.500
0.500 0.000 0.000
0.750 0.500 0.250
0.000 0.266 0.266
0.250 0.500 0.750
0.750 0.250 0.500
0.500 0.750 0.250
0.266 0.000 0.266
0.000 0.734 0.734
0.266 0.266 0.000
0.734 0.000 0.734
0.500 0.250 0.750
0.734 0.734 0.000
0.250 0.750 0.500
0.000 0.000 0.000
0.500 0.000 0.500
0.000 0.500 0.500
0.500 0.500 0.000
```


# 4
BeCuTeRh2 after structural relaxation. Source: the Alexandria database, functional PBE.

Computed properties:
Volume: 20.69 A^3/atom
Fermi-level density of states: 3.4 states/eV/cell
Formation energy from raw total energies: 1058 meV per atom
Space-group type: P4/mmm (123)
Final energy: -20.4 eV per cell

Cell and atoms, written as POSCAR:
```
BeCuTeRh2
1.0
4.868 0.000 0.000
0.000 4.366 0.000
0.000 0.000 4.868
Te Rh Cu Be
1 2 1 1
Direct
0.000 0.000 0.000
0.000 0.000 0.500
0.500 0.000 0.000
0.500 0.500 0.500
0.000 0.500 0.000
```


# 5
TbMg2Cu after structural relaxation. Source: the Alexandria database, functional PBE.

Computed properties:
Volume: 20.80 A^3/atom
Fermi-level density of states: 2.5 states/eV/cell
Energy of formation: 0.05 eV/atom
Space-group type: Fm-3m (225)
Final energy: -11.7 eV per cell

Cell and atoms, written as POSCAR:
```
TbMg2Cu
1.0
4.900 0.000 0.000
2.450 4.244 0.000
2.450 1.415 4.001
Tb Mg Cu
1 2 1
Direct
0.000 0.000 0.000
0.750 0.750 0.750
0.250 0.250 0.250
0.500 0.500 0.500
```


# 6
TaIn4Fe after structural relaxation. Source: the Alexandria database, functional PBE.

Computed properties:
Volume: 21.69 A^3/atom
Fermi-level density of states: 2.6 states/eV/cell
Energy of formation: 0.84 eV/atom
Space-group type: F-43m (216)
Final energy: -26.2 eV per cell

Cell and atoms, written as POSCAR:
```
TaIn4Fe
1.0
4.827 0.376 2.986
1.000 4.577 3.226
-0.123 -0.435 5.670
Ta In Fe
1 4 1
Direct
0.750 0.750 0.750
0.375 0.375 0.375
0.375 0.375 0.875
0.875 0.375 0.375
0.375 0.875 0.375
0.000 0.000 0.000
```


# 7
Ce2As3Ir4Pt after structural relaxation. Source: the Alexandria database, functional PBE.

Computed properties:
Volume: 18.55 A^3/atom
Fermi-level density of states: 5.8 states/eV/cell
Energy of formation: -0.69 eV/atom
Space-group type: P-4m2 (115)
Final energy: -74.2 eV per cell

Cell and atoms, written as POSCAR:
```
Ce2As3Ir4Pt
1.0
4.052 0.000 0.000
0.000 4.052 0.000
0.000 0.000 11.297
Ir Pt As Ce
4 1 3 2
Direct
0.500 0.000 0.665
0.000 0.500 0.335
0.000 0.000 0.000
0.500 0.500 0.000
0.500 0.500 0.500
0.500 0.000 0.874
0.000 0.500 0.126
0.000 0.000 0.500
0.000 0.500 0.739
0.500 0.000 0.261
```


# 8
Dy2VC after structural relaxation. Source: the Alexandria database, functional PBE.

Computed properties:
Volume: 20.91 A^3/atom
Fermi-level density of states: 3.1 states/eV/cell
Energy of formation: 0.24 eV/atom
Space-group type: R-3m (166)
Final energy: -26.6 eV per cell

Cell and atoms, written as POSCAR:
```
Dy2VC
1.0
3.517 0.000 0.000
1.759 3.046 0.000
1.759 1.015 7.806
C Dy V
1 2 1
Direct
0.500 0.500 0.500
0.774 0.774 0.677
0.226 0.226 0.323
0.000 0.000 0.000
```


# 9
PmDyTlNi after structural relaxation. Source: the Alexandria database, functional PBE.

Computed properties:
Volume: 24.62 A^3/atom
Fermi-level density of states: 4.5 states/eV/cell
Energy of formation: -0.22 eV/atom
Space-group type: F-43m (216)
Final energy: -18.4 eV per cell

Cell and atoms, written as POSCAR:
```
PmDyTlNi
1.0
5.184 0.000 0.000
2.592 4.489 0.000
2.592 1.496 4.232
Ni Tl Dy Pm
1 1 1 1
Direct
0.750 0.750 0.750
0.250 0.250 0.250
0.000 0.000 0.000
0.500 0.500 0.500
```


# 10
K8Na2Hg3 after structural relaxation. Source: the Alexandria database, functional PBE.

Computed properties:
Volume: 52.60 A^3/atom
Fermi-level density of states: 10.0 states/eV/cell
Energy of formation: -0.05 eV/atom
Space-group type: P2/m (10)
Final energy: -13.0 eV per cell

Cell and atoms, written as POSCAR:
```
K8Na2Hg3
1.0
6.251 0.000 0.000
0.000 10.679 -6.171
0.000 -0.941 10.787
Na K Hg
2 8 3
Direct
0.500 0.760 0.520
0.500 0.240 0.480
0.000 0.381 0.763
0.000 0.619 0.237
0.000 0.114 0.228
0.500 0.369 0.230
0.000 0.886 0.772
0.500 0.140 0.771
0.500 0.860 0.229
0.500 0.631 0.770
0.500 0.000 0.000
0.000 0.750 0.000
0.000 0.250 0.000
```


# 11
MnIN2 after structural relaxation. Source: the Alexandria database, functional PBE.

Computed properties:
Volume: 16.48 A^3/atom
Fermi-level density of states: 2.0 states/eV/cell
Formation energy from raw total energies: 1451 meV per atom
Space-group type: R-3m (166)
Final energy: -21.6 eV per cell

Cell and atoms, written as POSCAR:
```
MnIN2
1.0
-4.445 2.512 3.803
-2.474 5.235 2.647
-5.019 3.875 0.571
I N Mn
1 2 1
Direct
0.500 0.500 0.500
0.894 0.894 0.894
0.106 0.106 0.106
0.000 0.000 0.000
```


# 12
As2Au after structural relaxation. Source: the Alexandria database, functional PBE.

Computed properties:
Volume: 20.18 A^3/atom
Fermi-level density of states: 3.2 states/eV/cell
Energy of formation: 0.56 eV/atom
Space-group type: Fd-3m (227)
Final energy: -21.8 eV per cell

Cell and atoms, written as POSCAR:
```
As2Au
1.0
-2.405 -0.392 4.990
-4.847 -2.654 0.545
-0.205 -4.899 2.606
As Au
4 2
Direct
0.125 0.625 0.125
0.125 0.125 0.125
0.125 0.125 0.625
0.625 0.125 0.125
0.500 0.500 0.500
0.750 0.750 0.750
```


Q: The highest Fermi-level density of states belongs to which entry?
A: K8Na2Hg3